! HoTh2Rh (PBE, relaxed); values from VASP
&SYSTEM
  ibrav = 0, nat = 8, ntyp = 3
/
ATOMIC_SPECIES
Ho 164.93 Ho.upf
Th 232.04 Th.upf
Rh 102.91 Rh.upf
ATOMIC_POSITIONS crystal
Ho 0.084 0.250 0.169
Ho 0.916 0.750 0.831
Th 0.364 0.059 0.727
Th 0.364 0.441 0.727
Th 0.636 0.559 0.273
Th 0.636 0.941 0.273
Rh 0.209 0.750 0.419
Rh 0.791 0.250 0.581
CELL_PARAMETERS angstrom
3.780 0.000 0.000
0.000 10.023 0.000
-1.881 0.000 5.870
! Space group   P2_1/m (11)
! Energy of formation   -0.467 eV/atom
! DOS at the Fermi energy   10.31 states/eV per cell